1.
A relaxed structure of Sr2SbW, computed with PBE-GGA.

Summary:
Raw total energy in eV per atom: -4.5107

Lattice parameters (Å, degrees): 6.8344 9.8631 3.2048 90.00 90.00 90.00
Space group Cmmm (No. 65)
Inequivalent atoms, fractional coordinates:
Sr 0.2500 0.2500 0.0000
Sb 0.0000 0.0000 0.5000
W 0.0000 0.5000 0.5000

=====

2.
A relaxed structure of CaAc8Pm3, computed with PBE-GGA.

Summary:
ΔE_f in eV per atom: 0.085

Lattice parameters (Å, degrees): 18.1450 6.0203 9.3273 90.00 91.48 90.00
Space group Cm (No. 8)
Inequivalent atoms, fractional coordinates:
Ca 0.0000 0.0000 0.0000
Ac 0.0141 0.5000 0.7520
Ac 0.0145 0.0000 0.4508
Ac 0.1553 0.5000 0.4834
Ac 0.1876 0.0000 0.2360
Ac 0.1948 0.0000 0.7117
Ac 0.2054 0.5000 0.9700
Ac 0.3484 0.5000 0.6848
Ac 0.3527 0.0000 0.0067
Pm 0.0359 0.5000 0.1882
Pm 0.3325 0.5000 0.2671
Pm 0.3791 0.0000 0.4346

=====

3.
A relaxed structure of Rb2NbIrCl6, computed with PBE-GGA.

Summary:
Raw total energy in eV per atom: -4.1175

Lattice parameters (Å, degrees): 8.1566 8.1566 9.0939 90.00 90.00 90.00
Space group I4/mmm (No. 139)
Inequivalent atoms, fractional coordinates:
Rb 0.0000 0.5000 0.2500
Nb 0.0000 0.0000 0.0000
Ir 0.0000 0.0000 0.5000
Cl 0.0000 0.0000 0.2594
Cl 0.2144 0.2144 0.0000

=====

| no. | total magnetic moment (μB per formula unit) |
| --- | --- |
| 1 | 0.5 |
| 2 | 0.0 |
| 3 | 0.0 |